No. 1
VASP calculation (PBE) on Ce4Er3Ge4 after structural relaxation.

Calculated values
As for the mass density: 7.9 g/cm³. The density of states at the Fermi level is 16.02 states/eV/f.u. For the formation enthalpy at 0 K, the calculation gives -4.9 eV per formula unit. The calculation puts the final energy at -121.53 eV per cell.

a = 3.875 Å, b = 9.623 Å, c = 15.281 Å
α = 90.00°, β = 90.00°, γ = 90.00°
Space group Immm (No. 71)
Asymmetric unit:
Ce  0.000  0.215  0.190
Er  0.000  0.000  0.395
Er  0.000  0.500  0.500
Ge  0.000  0.285  0.000
Ge  0.000  0.500  0.255

---

No. 2
VASP calculation (PBE) on Pm6NdY2Er after structural relaxation.

Calculated values
As for the mass density: 6.6 g/cm³. The density of states at the Fermi level is 15.17 states/eV/f.u. For the formation enthalpy at 0 K, the calculation gives 1.2 eV per formula unit. The calculation puts the final energy at -198.27 eV per cell.

a = 9.304 Å, b = 15.292 Å, c = 9.662 Å
α = 90.00°, β = 97.24°, γ = 90.00°
Space group C2/c (No. 15)
Asymmetric unit:
Pm  0.063  0.177  0.444
Pm  0.097  0.391  0.619
Pm  0.208  0.225  0.815
Nd  0.000  0.407  0.250
Y  0.245  0.048  0.047
Er  0.000  0.031  0.750

---

No. 3
VASP calculation (PBE) on La6TlCd2 after structural relaxation.

Calculated values
As for the mass density: 7.1 g/cm³. Its energy above the most stable polymorph in this dataset is 0.0 meV per atom. The density of states at the Fermi level is 11.32 states/eV/f.u. For the formation enthalpy at 0 K, the calculation gives -2.0 eV per formula unit. The calculation puts the final energy at -35.79 eV per cell.

a = 5.6701 Å, b = 5.6701 Å, c = 10.6793 Å
α = 90.00°, β = 90.00°, γ = 120.00°
Space group P-3m1 (No. 164)
Asymmetric unit:
La  0.0000  0.0000  0.1748
La  0.3333  0.6667  0.0086
La  0.3333  0.6667  0.3836
Tl  0.0000  0.0000  0.5000
Cd  0.3333  0.6667  0.7039

---

No. 4
VASP calculation (PBE) on CrSbIr2 after structural relaxation.

Calculated values
As for the mass density: 10.4 g/cm³. The density of states at the Fermi level is 2.87 states/eV/f.u. The calculation puts the final energy at -116.90 eV per cell. The calculation puts the uncorrected formation energy at 0.56 eV/atom.

a = 5.586 Å, b = 5.586 Å, c = 11.395 Å
α = 90.00°, β = 90.00°, γ = 90.00°
Space group I-42d (No. 122)
Asymmetric unit:
Cr  0.000  0.000  0.000
Sb  0.000  0.000  0.500
Ir  0.206  0.250  0.125

---

No. 5
VASP calculation (PBE) on La2Cu3Ni12Sn after structural relaxation.

Calculated values
As for the mass density: 7.6 g/cm³. The density of states at the Fermi level is 27.16 states/eV/f.u. For the formation enthalpy at 0 K, the calculation gives 3.2 eV per formula unit. The calculation puts the final energy at -277.11 eV per cell.

a = 6.1600 Å, b = 6.1600 Å, c = 25.7699 Å
α = 90.00°, β = 90.00°, γ = 120.00°
Space group R-3m (No. 166, hexagonal axes)
Asymmetric unit:
La  0.0000  0.0000  0.1380
Cu  0.0000  0.5000  0.0000
Ni  0.0590  0.5295  0.9017
Ni  0.0809  0.5404  0.6238
Sn  0.0000  0.0000  0.5000

---

No. 6
VASP calculation (PBE) on KCrIr2 after structural relaxation.

Calculated values
As for the mass density: 11.4 g/cm³. Its energy above the most stable polymorph in this dataset is 671.9 meV per atom. The density of states at the Fermi level is 4.99 states/eV/f.u. For the formation enthalpy at 0 K, the calculation gives 4.0 eV per formula unit. The calculation puts the final energy at -24.43 eV per cell.

a = 2.827 Å, b = 4.850 Å, c = 5.033 Å
α = 90.00°, β = 90.00°, γ = 90.00°
Space group Pmmm (No. 47)
Asymmetric unit:
K  0.000  0.000  0.000
Cr  0.500  0.500  0.000
Ir  0.000  0.500  0.500
Ir  0.500  0.000  0.500

---

No. 7
VASP calculation (PBE) on MgAsP after structural relaxation.

Calculated values
As for the mass density: 3.5 g/cm³. Its energy above the most stable polymorph in this dataset is 310.3 meV per atom. The density of states at the Fermi level is 0.90 states/eV/f.u. For the formation enthalpy at 0 K, the calculation gives 0.2 eV per formula unit. The calculation puts the final energy at -45.66 eV per cell.

a = 6.255 Å, b = 6.255 Å, c = 6.255 Å
α = 90.00°, β = 90.00°, γ = 90.00°
Space group F-43m (No. 216)
Asymmetric unit:
Mg  0.000  0.000  0.000
As  0.250  0.250  0.750
P  0.250  0.250  0.250

---

No. 8
VASP calculation (PBE) on KNiIrBr6 after structural relaxation.

Calculated values
As for the mass density: 4.5 g/cm³. The calculation puts the final energy at -31.11 eV per cell. The calculation puts the uncorrected formation energy at -0.59 eV/atom.

a = 6.6023 Å, b = 6.6023 Å, c = 7.4729 Å
α = 90.00°, β = 90.00°, γ = 120.00°
Space group P312 (No. 149)
Asymmetric unit:
K  0.0000  0.0000  0.0000
Ni  0.6667  0.3333  0.5000
Ir  0.3333  0.6667  0.5000
Br  0.0056  0.3679  0.6892

---

No. 9
VASP calculation (PBE) on Y2PSe after structural relaxation.

Calculated values
As for the mass density: 5.5 g/cm³. Its energy above the most stable polymorph in this dataset is 1482.4 meV per atom. The density of states at the Fermi level is 2.39 states/eV/f.u. The calculation puts the final energy at -92.31 eV per cell. The calculation puts the uncorrected formation energy at -0.31 eV/atom.

a = 7.026 Å, b = 7.026 Å, c = 7.026 Å
α = 90.00°, β = 90.00°, γ = 90.00°
Space group F-43m (No. 216)
Asymmetric unit:
Y  0.000  0.000  0.000
Y  0.250  0.250  0.250
P  0.000  0.000  0.500
Se  0.250  0.250  0.750

---

No. 10
VASP calculation (PBE) on Li2Cd3Ni after structural relaxation.

Calculated values
As for the mass density: 6.7 g/cm³. The density of states at the Fermi level is 2.34 states/eV/f.u. For the formation enthalpy at 0 K, the calculation gives -1.0 eV per formula unit. The calculation puts the final energy at -53.33 eV per cell.

a = 4.497 Å, b = 13.527 Å, c = 6.706 Å
α = 90.00°, β = 90.00°, γ = 90.00°
Space group Cmmm (No. 65)
Asymmetric unit:
Li  0.000  0.000  0.000
Li  0.000  0.000  0.500
Li  0.000  0.337  0.000
Cd  0.000  0.171  0.265
Cd  0.000  0.500  0.260
Ni  0.000  0.337  0.500

---

No. 11
VASP calculation (PBE) on CrBSb3 after structural relaxation.

Calculated values
As for the mass density: 5.7 g/cm³. Its energy above the most stable polymorph in this dataset is 0.0 meV per atom. The density of states at the Fermi level is 5.34 states/eV/f.u. The calculation puts the final energy at -22.48 eV per cell. The calculation puts the uncorrected formation energy at 1.24 eV/atom.

a = 4.982 Å, b = 4.982 Å, c = 4.982 Å
α = 90.00°, β = 90.00°, γ = 90.00°
Space group Pm-3m (No. 221)
Asymmetric unit:
Cr  0.000  0.000  0.000
B  0.500  0.500  0.500
Sb  0.000  0.000  0.500

---

No. 12
VASP calculation (PBE) on AlAgB after structural relaxation.

Calculated values
As for the mass density: 5.9 g/cm³. Its energy above the most stable polymorph in this dataset is 0.0 meV per atom. The density of states at the Fermi level is 0.83 states/eV/f.u. For the formation enthalpy at 0 K, the calculation gives 1.9 eV per formula unit. The calculation puts the final energy at -45.38 eV per cell.

a = 2.838 Å, b = 12.550 Å, c = 4.639 Å
α = 90.00°, β = 90.00°, γ = 90.00°
Space group Cmcm (No. 63)
Asymmetric unit:
Al  0.000  0.146  0.250
Ag  0.000  0.438  0.250
B  0.000  0.219  0.750

---

No. 13
VASP calculation (PBE) on CaBeSe3 after structural relaxation.

Calculated values
As for the mass density: 2.9 g/cm³. Its energy above the most stable polymorph in this dataset is 1182.5 meV per atom. The density of states at the Fermi level is 8.34 states/eV/f.u. The calculation puts the final energy at -13.16 eV per cell. The calculation puts the uncorrected formation energy at 0.60 eV/atom.

a = 5.502 Å, b = 5.502 Å, c = 5.502 Å
α = 90.00°, β = 90.00°, γ = 90.00°
Space group Pm-3m (No. 221)
Asymmetric unit:
Ca  0.000  0.000  0.000
Be  0.500  0.500  0.500
Se  0.000  0.000  0.500